[1]
Below is Ba2LiIr after structural relaxation, with properties calculated at the PBEsol level.

Geometry as CIF:
```
data_Ba2LiIr
_cell_length_a 4.440
_cell_length_b 4.441
_cell_length_c 8.350
_cell_angle_alpha 105.52
_cell_angle_beta 90.00
_cell_angle_gamma 120.00
_symmetry_space_group_name_H-M 'P 1'
_symmetry_Int_Tables_number 1
loop_
_symmetry_equiv_pos_as_xyz
'x,y,z'
loop_
_atom_site_label
_atom_site_fract_x
_atom_site_fract_y
_atom_site_fract_z
Ir1 0.458 0.916 0.375
Ba1 0.042 0.084 0.128
Ba2 0.208 0.416 0.622
Li1 0.792 0.583 0.375
```

Values from the calculation:
formation energy	-0.0653	eV per atom
V	135.6	Å³/cell

***

[2]
Below is Ba2LiIr after structural relaxation, with properties calculated at the PBEsol level.

Geometry as CIF:
```
data_Ba2LiIr
_cell_length_a 4.496
_cell_length_b 4.556
_cell_length_c 6.279
_cell_angle_alpha 90.00
_cell_angle_beta 110.97
_cell_angle_gamma 90.00
_symmetry_space_group_name_H-M 'P 1'
_symmetry_Int_Tables_number 1
loop_
_symmetry_equiv_pos_as_xyz
'x,y,z'
loop_
_atom_site_label
_atom_site_fract_x
_atom_site_fract_y
_atom_site_fract_z
Ir1 0.680 0.000 0.359
Ba1 0.988 0.000 0.976
Ba2 0.264 0.500 0.528
Li1 0.580 0.500 0.160
```

Values from the calculation:
formation energy	0.0091	eV per atom
V	120.1	Å³/cell

***

[3]
Below is BaLi2MgIr after structural relaxation, with properties calculated at the PBEsol level.

Geometry as CIF:
```
data_BaLi2MgIr
_cell_length_a 5.096
_cell_length_b 5.096
_cell_length_c 5.121
_cell_angle_alpha 90.00
_cell_angle_beta 90.00
_cell_angle_gamma 90.00
_symmetry_space_group_name_H-M 'P 1'
_symmetry_Int_Tables_number 1
loop_
_symmetry_equiv_pos_as_xyz
'x,y,z'
loop_
_atom_site_label
_atom_site_fract_x
_atom_site_fract_y
_atom_site_fract_z
Mg1 0.500 0.500 0.500
Ir1 0.000 0.000 0.500
Ba1 0.000 0.000 0.000
Li1 0.000 0.500 0.000
Li2 0.500 0.000 0.000
```

Values from the calculation:
formation energy	1.1108	eV per atom
V	133.0	Å³/cell

***

| no. | total magnetic moment (μB per atom) | Fermi-level density of states (states/eV/atom) | raw total energy (eV per atom) |
| --- | --- | --- | --- |
| 1 | 0.00 | 0.393 | -4.0874 |
| 2 | 0.00 | 0.335 | -4.0129 |
| 3 | 0.00 | 0.399 | -2.4138 |